1.
Computed, not measured: an optimized crystal structure of Ca2PrTm at the GGA-PBE level of DFT.

Summary:
* energy relative to the lowest polymorph listed for this composition: 10 meV per atom

Cell: 8.334 8.334 8.334 Å, 90.00 90.00 90.00°
Space group Fm-3m (No. 225)
One atom of each set of equivalent atoms:
Ca: 0.250 0.250 0.250 (multiplicity 8)
Pr: 0.000 0.000 0.000 (multiplicity 4)
Tm: 0.000 0.000 0.500 (multiplicity 4)

***

2.
Computed, not measured: an optimized crystal structure of CaPr2Tm at the GGA-PBE level of DFT.

Summary:
* energy relative to the lowest polymorph listed for this composition: 7 meV per atom

Cell: 3.6611 3.6611 36.7280 Å, 90.00 90.00 120.00°
Space group R3m (No. 160, hexagonal axes)
One atom of each set of equivalent atoms:
Ca: 0.0000 0.0000 0.0000 (multiplicity 3)
Pr: 0.0000 0.0000 0.2443 (multiplicity 3)
Pr: 0.0000 0.0000 0.4221 (multiplicity 3)
Tm: 0.0000 0.0000 0.8333 (multiplicity 3)

***

3.
Computed, not measured: an optimized crystal structure of CaPrTm at the GGA-PBE level of DFT.

Summary:
* energy relative to the lowest polymorph listed for this composition: 25 meV per atom

Cell: 3.686 3.686 15.650 Å, 90.00 90.00 90.00°
Space group I4mm (No. 107)
One atom of each set of equivalent atoms:
Ca: 0.000 0.000 0.000 (multiplicity 2)
Pr: 0.000 0.000 0.680 (multiplicity 2)
Tm: 0.000 0.000 0.329 (multiplicity 2)

***

4.
Computed, not measured: an optimized crystal structure of CaPr12Tm5 at the GGA-PBE level of DFT.

Summary:
* uncorrected energy: -162.01 eV per cell

Cell: 15.385 15.639 5.203 Å, 90.00 90.00 90.00°
Space group Cmmm (No. 65)
One atom of each set of equivalent atoms:
Ca: 0.000 0.000 0.000 (multiplicity 2)
Pr: 0.164 0.334 0.500 (multiplicity 8)
Pr: 0.166 0.170 0.000 (multiplicity 8)
Pr: 0.166 0.500 0.000 (multiplicity 4)
Pr: 0.170 0.000 0.500 (multiplicity 4)
Tm: 0.000 0.173 0.500 (multiplicity 4)
Tm: 0.000 0.335 0.000 (multiplicity 4)
Tm: 0.000 0.500 0.500 (multiplicity 2)

***

5.
Computed, not measured: an optimized crystal structure of CaPr4Tm at the GGA-PBE level of DFT.

Summary:
* uncorrected energy: -25.39 eV per cell

Cell: 3.725 3.725 15.579 Å, 90.00 90.00 90.00°
Space group P4/mmm (No. 123)
One atom of each set of equivalent atoms:
Ca: 0.000 0.000 0.000 (multiplicity 1)
Pr: 0.000 0.000 0.342 (multiplicity 2)
Pr: 0.500 0.500 0.181 (multiplicity 2)
Tm: 0.500 0.500 0.500 (multiplicity 1)

***

6.
Computed, not measured: an optimized crystal structure of CaPr6Tm at the GGA-PBE level of DFT.

Summary:
* uncorrected energy: -34.90 eV per cell

Cell: 5.221 5.221 10.459 Å, 90.00 90.00 90.00°
Space group P4/mmm (No. 123)
One atom of each set of equivalent atoms:
Ca: 0.000 0.000 0.000 (multiplicity 1)
Pr: 0.000 0.500 0.257 (multiplicity 4)
Pr: 0.500 0.500 0.000 (multiplicity 1)
Pr: 0.500 0.500 0.500 (multiplicity 1)
Tm: 0.000 0.000 0.500 (multiplicity 1)

***

7.
Computed, not measured: an optimized crystal structure of Ca2Pr2Tm at the GGA-PBE level of DFT.

Summary:
* energy relative to the lowest polymorph listed for this composition: 0 meV per atom

Cell: 3.6961 3.6961 15.4920 Å, 90.00 90.00 120.00°
Space group P-3m1 (No. 164)
One atom of each set of equivalent atoms:
Ca: 0.3333 0.6667 0.1064 (multiplicity 2)
Pr: 0.3333 0.6667 0.6836 (multiplicity 2)
Tm: 0.0000 0.0000 0.5000 (multiplicity 1)

***

8.
Computed, not measured: an optimized crystal structure of CaPr2Tm at the GGA-PBE level of DFT.

Summary:
* energy relative to the lowest polymorph listed for this composition: 9 meV per atom

Cell: 3.679 3.679 10.515 Å, 90.00 90.00 90.00°
Space group P4/mmm (No. 123)
One atom of each set of equivalent atoms:
Ca: 0.000 0.000 0.000 (multiplicity 1)
Pr: 0.500 0.500 0.267 (multiplicity 2)
Tm: 0.000 0.000 0.500 (multiplicity 1)